[1]
NdThPt | GGA-PBE | relaxed

As for the excess energy over the best structure of this formula in the dataset: 0.000 eV per atom. The value obtained for the formation energy is -0.636 eV per atom. For the density of states at the Fermi level, the calculation gives 14.00 states/eV per cell. As for the energy: -6.7122 eV per atom.

extended XYZ file:
```
12
Lattice="7.125 0.000 0.000 0.000 6.054 0.000 -6.489 0.000 8.502" Properties=species:S:1:pos:R:3 pbc="T T T"
Nd -1.026 0.839 3.224
Nd -4.271 2.188 7.475
Nd 4.907 3.866 1.027
Nd 1.663 5.215 5.278
Th -1.807 3.853 5.361
Th 1.438 5.228 1.110
Th -0.801 0.826 7.392
Th 2.443 2.201 3.141
Pt -0.063 3.871 3.073
Pt -3.307 5.210 7.324
Pt 3.944 0.844 1.178
Pt 0.699 2.183 5.428
```



[2]
Nd2ThPt3 | GGA-PBE | relaxed

As for the excess energy over the best structure of this formula in the dataset: 0.007 eV per atom. The value obtained for the formation energy is -1.129 eV per atom. For the density of states at the Fermi level, the calculation gives 4.97 states/eV per cell. As for the energy: -6.9754 eV per atom.

extended XYZ file:
```
12
Lattice="6.656 -2.971 0.000 6.656 2.971 0.000 -2.619 0.000 7.945" Properties=species:S:1:pos:R:3 pbc="T T T"
Nd 1.999 0.005 0.661
Nd 0.689 -0.005 4.633
Nd 10.003 0.005 3.312
Nd 8.694 -0.005 7.285
Th 4.691 0.004 5.959
Th 6.001 -0.004 1.986
Pt 6.001 2.966 1.986
Pt 3.417 0.005 3.334
Pt 2.108 -0.005 7.306
Pt 8.584 0.005 0.639
Pt 7.275 -0.005 4.612
Pt 4.691 -2.966 5.959
```



[3]
Nd2ThPt2 | GGA-PBE | relaxed

The value obtained for the formation energy is -0.777 eV per atom. For the density of states at the Fermi level, the calculation gives 12.14 states/eV per cell. As for the energy: -6.5841 eV per atom.

extended XYZ file:
```
10
Lattice="-3.965 5.516 3.328 3.965 -5.516 3.328 3.965 5.516 -3.328" Properties=species:S:1:pos:R:3 pbc="T T T"
Nd 1.041 1.666 0.000
Nd 5.007 3.850 0.000
Nd -1.041 1.666 3.328
Nd 2.924 3.850 3.328
Th 3.965 0.000 1.664
Th 0.000 5.516 1.664
Pt 6.079 1.169 0.000
Pt 2.114 4.348 0.000
Pt 1.851 1.169 3.328
Pt -2.114 4.348 3.328
```



[4]
NdThPt2 | GGA-PBE | relaxed

As for the excess energy over the best structure of this formula in the dataset: 0.035 eV per atom. The value obtained for the formation energy is -1.168 eV per atom. For the density of states at the Fermi level, the calculation gives 1.64 states/eV per cell. As for the energy: -7.2349 eV per atom.

extended XYZ file:
```
4
Lattice="2.089 1.206 6.933 -2.089 1.206 6.933 0.000 -2.412 6.933" Properties=species:S:1:pos:R:3 pbc="T T T"
Nd 0.000 0.000 0.000
Th 0.000 0.000 10.400
Pt 0.000 0.000 5.134
Pt 0.000 0.000 15.666
```



[5]
Nd3Th2Pt4 | GGA-PBE | relaxed

The value obtained for the formation energy is -1.018 eV per atom. For the density of states at the Fermi level, the calculation gives 6.49 states/eV per cell. As for the energy: -6.9404 eV per atom.

extended XYZ file:
```
9
Lattice="3.574 -2.064 0.000 3.574 2.064 0.000 -0.009 0.000 17.147" Properties=species:S:1:pos:R:3 pbc="T T T"
Nd 0.000 0.000 0.000
Nd 2.385 0.000 6.980
Nd 4.755 0.000 10.167
Th 2.372 0.000 13.604
Th 4.767 0.000 3.543
Pt 0.002 0.000 5.280
Pt 2.384 0.000 1.848
Pt 4.756 0.000 15.299
Pt 7.138 0.000 11.867
```



[6]
Nd5ThPt4 | GGA-PBE | relaxed

The value obtained for the formation energy is -0.883 eV per atom. For the density of states at the Fermi level, the calculation gives 8.55 states/eV per cell. As for the energy: -6.4254 eV per atom.

extended XYZ file:
```
10
Lattice="9.112 -2.111 0.000 9.112 2.111 0.000 -2.217 0.000 7.863" Properties=species:S:1:pos:R:3 pbc="T T T"
Nd 0.000 0.000 0.000
Nd 5.727 0.000 1.212
Nd 4.643 0.000 5.092
Nd 11.365 0.000 2.771
Nd 10.280 0.000 6.651
Th -1.108 0.000 3.931
Pt 1.733 0.000 4.748
Pt 8.530 0.000 1.950
Pt 7.477 0.000 5.913
Pt 14.274 0.000 3.115
```



[7]
NdTi2Pt3 | GGA-PBE | relaxed

The value obtained for the formation energy is -0.868 eV per atom. For the density of states at the Fermi level, the calculation gives 8.40 states/eV per cell. As for the energy: -7.3151 eV per atom.

extended XYZ file:
```
12
Lattice="5.227 -4.009 0.000 5.227 4.009 0.000 0.000 0.000 5.660" Properties=species:S:1:pos:R:3 pbc="T T T"
Nd 5.227 2.680 4.245
Nd 5.227 -2.680 1.415
Ti 3.044 0.000 0.000
Ti 3.044 0.000 2.830
Ti 7.410 0.000 0.000
Ti 7.410 0.000 2.830
Pt 3.570 2.471 1.415
Pt 6.884 2.471 1.415
Pt 5.227 0.329 1.415
Pt 5.227 -0.329 4.245
Pt 3.570 -2.471 4.245
Pt 6.884 -2.471 4.245
```



[8]
NdTi2Pt2 | GGA-PBE | relaxed

The value obtained for the formation energy is -0.884 eV per atom. For the density of states at the Fermi level, the calculation gives 3.27 states/eV per cell. As for the energy: -7.4116 eV per atom.

extended XYZ file:
```
5
Lattice="-2.202 2.202 5.296 2.202 -2.202 5.296 2.202 2.202 -5.296" Properties=species:S:1:pos:R:3 pbc="T T T"
Nd 0.000 0.000 0.000
Ti 2.202 0.000 2.648
Ti 0.000 2.202 2.648
Pt 0.000 0.000 3.957
Pt 0.000 0.000 6.635
```



[9]
NdTiPt2 | GGA-PBE | relaxed

As for the excess energy over the best structure of this formula in the dataset: 0.000 eV per atom. The value obtained for the formation energy is -0.965 eV per atom. For the density of states at the Fermi level, the calculation gives 3.39 states/eV per cell. As for the energy: -7.1512 eV per atom.

extended XYZ file:
```
4
Lattice="2.210 1.276 5.009 -2.210 1.276 5.009 0.000 -2.552 5.009" Properties=species:S:1:pos:R:3 pbc="T T T"
Nd 0.000 0.000 0.000
Ti 0.000 0.000 7.513
Pt 0.000 0.000 3.166
Pt 0.000 0.000 11.860
```



[10]
NdTiPt2 | GGA-PBE | relaxed

As for the excess energy over the best structure of this formula in the dataset: 0.042 eV per atom. The value obtained for the formation energy is -0.923 eV per atom. For the density of states at the Fermi level, the calculation gives 1.80 states/eV per cell. As for the energy: -7.1095 eV per atom.

extended XYZ file:
```
4
Lattice="3.238 0.000 0.000 0.000 3.238 0.000 0.000 0.000 7.376" Properties=species:S:1:pos:R:3 pbc="T T T"
Nd 0.000 0.000 0.000
Ti 0.000 0.000 3.688
Pt 1.619 1.619 2.248
Pt 1.619 1.619 5.128
```



[11]
NdTiZnPt2 | GGA-PBE | relaxed

The value obtained for the formation energy is -0.850 eV per atom. For the density of states at the Fermi level, the calculation gives 5.51 states/eV per cell. As for the energy: -6.0535 eV per atom.

extended XYZ file:
```
5
Lattice="-2.019 2.019 6.042 2.019 -2.019 6.042 2.019 2.019 -6.042" Properties=species:S:1:pos:R:3 pbc="T T T"
Nd 0.000 0.000 0.000
Ti 2.019 0.000 3.021
Zn 0.000 2.019 3.021
Pt 0.000 0.000 4.682
Pt 0.000 0.000 7.403
```



[12]
NdTlPt2 | GGA-PBE | relaxed

The value obtained for the formation energy is -0.578 eV per atom. For the density of states at the Fermi level, the calculation gives 1.42 states/eV per cell. As for the energy: -5.3817 eV per atom.

extended XYZ file:
```
4
Lattice="3.758 0.000 0.000 0.000 3.758 0.000 0.000 0.000 6.208" Properties=species:S:1:pos:R:3 pbc="T T T"
Nd 0.000 0.000 0.000
Tl 0.000 0.000 3.104
Pt 1.879 1.879 1.577
Pt 1.879 1.879 4.631
```



[13]
Nd8Tl2Pt3 | GGA-PBE | relaxed

The value obtained for the formation energy is -0.508 eV per atom. For the density of states at the Fermi level, the calculation gives 11.87 states/eV per cell. As for the energy: -5.2001 eV per atom.

extended XYZ file:
```
13
Lattice="8.418 -3.829 0.000 8.418 3.829 0.000 -2.370 0.000 6.739" Properties=species:S:1:pos:R:3 pbc="T T T"
Nd 0.536 0.000 2.788
Nd 6.448 1.867 0.634
Nd 4.593 0.000 3.270
Nd 8.017 1.867 6.105
Nd 6.448 -1.867 0.634
Nd 9.873 0.000 3.469
Nd 8.017 -1.867 6.105
Nd 13.929 0.000 3.952
Tl 2.236 0.000 5.536
Tl 12.229 0.000 1.203
Pt 0.000 0.000 0.000
Pt 7.233 1.462 3.370
Pt 7.233 -1.462 3.370
```



[14]
Nd2TlPt | GGA-PBE | relaxed

As for the excess energy over the best structure of this formula in the dataset: 0.117 eV per atom. The value obtained for the formation energy is -0.596 eV per atom. For the density of states at the Fermi level, the calculation gives 4.26 states/eV per cell. As for the energy: -5.0821 eV per atom.

extended XYZ file:
```
4
Lattice="0.000 3.762 3.762 3.762 0.000 3.762 3.762 3.762 0.000" Properties=species:S:1:pos:R:3 pbc="T T T"
Nd 1.881 1.881 1.881
Nd 5.643 5.643 5.643
Tl 0.000 0.000 0.000
Pt 3.762 3.762 3.762
```



[15]
NdTl3Pt8 | GGA-PBE | relaxed

The value obtained for the formation energy is -0.420 eV per atom. For the density of states at the Fermi level, the calculation gives 4.95 states/eV per cell. As for the energy: -5.4359 eV per atom.

extended XYZ file:
```
12
Lattice="2.744 1.584 8.906 -2.744 1.584 8.906 0.000 -3.169 8.906" Properties=species:S:1:pos:R:3 pbc="T T T"
Nd 0.000 0.000 0.000
Tl 0.000 0.000 10.177
Tl 0.000 0.000 13.435
Tl 0.000 0.000 23.309
Pt 0.000 0.000 5.031
Pt -1.373 -0.793 20.599
Pt 0.000 -1.592 16.175
Pt -1.379 0.796 16.175
Pt 0.000 0.000 18.388
Pt 1.373 -0.793 20.599
Pt 0.000 1.585 20.599
Pt 1.379 0.796 16.175
```



[16]
NdTlPt2 | GGA-PBE | relaxed

The value obtained for the formation energy is -0.564 eV per atom. For the density of states at the Fermi level, the calculation gives 1.72 states/eV per cell. As for the energy: -5.3679 eV per atom.

extended XYZ file:
```
4
Lattice="4.770 0.000 0.000 0.000 4.770 0.000 0.000 0.000 3.813" Properties=species:S:1:pos:R:3 pbc="T T T"
Nd 0.000 0.000 0.000
Tl 2.385 2.385 0.000
Pt 0.000 2.385 1.906
Pt 2.385 0.000 1.906
```



[17]
Nd5Tl2Pt2 | GGA-PBE | relaxed

The value obtained for the formation energy is -0.656 eV per atom. For the density of states at the Fermi level, the calculation gives 18.98 states/eV per cell. As for the energy: -5.1732 eV per atom.

extended XYZ file:
```
18
Lattice="8.062 -3.745 0.000 8.062 3.745 0.000 0.000 0.000 8.699" Properties=species:S:1:pos:R:3 pbc="T T T"
Nd 0.000 0.000 0.000
Nd 6.109 2.535 5.890
Nd 6.109 1.210 1.540
Nd 10.015 2.535 5.890
Nd 10.015 1.210 1.540
Nd 8.062 0.000 4.350
Nd 6.109 -1.210 7.159
Nd 6.109 -2.535 2.809
Nd 10.015 -1.210 7.159
Nd 10.015 -2.535 2.809
Tl 3.444 0.000 0.000
Tl 4.619 0.000 4.350
Tl 11.506 0.000 4.350
Tl 12.681 0.000 0.000
Pt 8.062 2.754 3.307
Pt 8.062 0.991 7.656
Pt 8.062 -0.991 1.043
Pt 8.062 -2.754 5.393
```



[18]
Nd4Tl5Pt2 | GGA-PBE | relaxed

The value obtained for the formation energy is -0.596 eV per atom. For the density of states at the Fermi level, the calculation gives 7.34 states/eV per cell. As for the energy: -4.5039 eV per atom.

extended XYZ file:
```
11
Lattice="8.102 0.000 0.000 0.000 3.808 0.000 -0.650 0.000 9.883" Properties=species:S:1:pos:R:3 pbc="T T T"
Nd 1.312 0.000 3.426
Nd 1.149 0.000 9.179
Nd 6.302 0.000 0.705
Nd 6.140 0.000 6.457
Tl 0.837 1.904 6.293
Tl 3.594 1.904 1.646
Tl 3.726 1.904 4.942
Tl 3.857 1.904 8.237
Tl 6.614 1.904 3.591
Pt 0.545 1.904 1.324
Pt 6.907 1.904 8.559
```



[19]
Nd2Tl2Pt15 | GGA-PBE | relaxed

The value obtained for the formation energy is -0.416 eV per atom. For the density of states at the Fermi level, the calculation gives 12.73 states/eV per cell. As for the energy: -5.9363 eV per atom.

extended XYZ file:
```
19
Lattice="4.754 2.745 4.490 -4.754 2.745 4.490 0.000 -5.490 4.490" Properties=species:S:1:pos:R:3 pbc="T T T"
Nd 0.000 0.000 1.941
Nd 0.000 0.000 11.529
Tl 0.000 0.000 5.303
Tl 0.000 0.000 8.167
Pt -2.377 -1.372 4.490
Pt 0.000 -2.818 4.442
Pt -2.441 1.409 4.442
Pt -1.554 -2.692 6.735
Pt -3.109 0.000 6.735
Pt -2.441 -1.409 9.028
Pt -2.377 1.372 8.980
Pt 1.554 -2.692 6.735
Pt 0.000 2.745 4.490
Pt -1.554 2.692 6.735
Pt 2.441 1.409 4.442
Pt 3.109 0.000 6.735
Pt 1.554 2.692 6.735
Pt 2.441 -1.409 9.028
Pt 0.000 2.818 9.028
```



[20]
Nd2TlPt | GGA-PBE | relaxed

As for the excess energy over the best structure of this formula in the dataset: 0.053 eV per atom. The value obtained for the formation energy is -0.661 eV per atom. For the density of states at the Fermi level, the calculation gives 4.02 states/eV per cell. As for the energy: -5.1470 eV per atom.

extended XYZ file:
```
4
Lattice="2.050 1.183 8.347 -2.050 1.183 8.347 0.000 -2.367 8.347" Properties=species:S:1:pos:R:3 pbc="T T T"
Nd 0.000 0.000 5.870
Nd 0.000 0.000 19.170
Tl 0.000 0.000 0.000
Pt 0.000 0.000 12.520
```



[21]
Nd6Tl3Pt | GGA-PBE | relaxed

The value obtained for the formation energy is -0.415 eV per atom. For the density of states at the Fermi level, the calculation gives 18.55 states/eV per cell. As for the energy: -4.5899 eV per atom.

extended XYZ file:
```
20
Lattice="9.327 0.000 0.000 0.000 12.128 0.000 0.000 0.000 5.412" Properties=species:S:1:pos:R:3 pbc="T T T"
Nd 0.097 2.897 0.000
Nd 1.451 0.995 2.706
Nd 1.734 5.081 2.706
Nd 2.930 11.145 0.000
Nd 3.212 7.059 0.000
Nd 4.566 8.961 2.706
Nd 4.761 3.167 2.706
Nd 6.115 5.070 0.000
Nd 6.398 0.983 0.000
Nd 7.593 7.047 2.706
Nd 7.876 11.134 2.706
Nd 9.230 9.232 0.000
Tl 0.000 6.064 0.000
Tl 1.446 8.903 2.706
Tl 3.218 2.839 0.000
Tl 4.664 0.000 2.706
Tl 6.110 9.289 0.000
Tl 7.881 3.225 2.706
Pt 0.000 0.000 0.000
Pt 4.664 6.064 2.706
```



[22]
Nd8TlPt2 | GGA-PBE | relaxed

The value obtained for the formation energy is -0.422 eV per atom. For the density of states at the Fermi level, the calculation gives 13.23 states/eV per cell. As for the energy: -5.2026 eV per atom.

extended XYZ file:
```
11
Lattice="4.450 -6.984 0.000 4.450 6.984 0.000 -1.492 0.000 5.529" Properties=species:S:1:pos:R:3 pbc="T T T"
Nd 0.974 1.734 3.149
Nd 4.450 3.549 0.000
Nd 0.974 -1.734 3.149
Nd 3.223 0.000 1.065
Nd 4.184 0.000 4.464
Nd 6.434 1.734 2.380
Nd 4.450 -3.549 0.000
Nd 6.434 -1.734 2.380
Tl 0.000 0.000 0.000
Pt 3.704 2.783 2.765
Pt 3.704 -2.783 2.765
```



[23]
Nd3Tl2Pt | GGA-PBE | relaxed

The value obtained for the formation energy is -0.510 eV per atom. For the density of states at the Fermi level, the calculation gives 8.62 states/eV per cell. As for the energy: -4.6891 eV per atom.

extended XYZ file:
```
12
Lattice="7.731 -3.248 0.000 7.731 3.248 0.000 -1.651 0.000 6.747" Properties=species:S:1:pos:R:3 pbc="T T T"
Nd 6.492 2.423 5.060
Nd 4.765 0.603 2.777
Nd 3.939 -0.603 6.150
Nd 9.871 0.603 0.597
Nd 9.046 -0.603 3.970
Nd 7.318 -2.423 1.687
Tl 2.566 0.663 0.328
Tl 1.740 -0.663 3.701
Tl 12.070 0.663 3.046
Tl 11.244 -0.663 6.419
Pt 7.318 0.947 1.687
Pt 6.492 -0.947 5.060
```



no.,spin magnetization (Bohr magnetons per cell)
1,0.0
2,0.0
3,0.0
4,0.0
5,0.0
6,0.0
7,0.0
8,0.0
9,0.0
10,0.0
11,0.0
12,0.0
13,0.0
14,0.0
15,0.0
16,0.0
17,0.0
18,0.0
19,0.0
20,0.0
21,0.0
22,0.0
23,0.0